Record 1
First-principles (PBE) data for a relaxed structure of Er5Tm3S, as listed in the Open Quantum Materials Database.

Output
The total moment comes out at 0.00 μB per atom. For the calculated volume, the calculation gives 253 Å³ per cell. As for the crystal system: hexagonal. The total energy is -4.86 eV/atom.

Cell and atoms, written as CIF:
```
data_Er5Tm3S
_chemical_formula_sum 'Er5 Tm3 S1'
_space_group_name_H-M_alt 'P -6 2 m'
_space_group_IT_number 189
_space_group_name_Hall 'P -6 -2'
_cell_length_a 8.9005
_cell_length_b 8.9005
_cell_length_c 3.6921
_cell_angle_alpha 90.00
_cell_angle_beta 90.00
_cell_angle_gamma 120.00
loop_
_atom_site_label
_atom_site_fract_x
_atom_site_fract_y
_atom_site_fract_z
Er1 0.0000 0.2453 0.0000
Er2 0.3333 0.6667 0.0000
Tm1 0.0000 0.6015 0.5000
S1 0.0000 0.0000 0.5000
```


Record 2
First-principles (PBE) data for a relaxed structure of YErS2, as listed in the Open Quantum Materials Database.

Output
The total moment comes out at 0.00 μB per atom. For the calculated volume, the calculation gives 83 Å³ per cell. As for the crystal system: tetragonal. The total energy is -6.79 eV/atom.

Cell and atoms, written as CIF:
```
data_YErS2
_chemical_formula_sum 'Y1 Er1 S2'
_space_group_name_H-M_alt 'P 4/m m m'
_space_group_IT_number 123
_space_group_name_Hall '-P 4 2'
_cell_length_a 3.886
_cell_length_b 3.886
_cell_length_c 5.498
_cell_angle_alpha 90.00
_cell_angle_beta 90.00
_cell_angle_gamma 90.00
loop_
_atom_site_label
_atom_site_fract_x
_atom_site_fract_y
_atom_site_fract_z
Y1 0.000 0.000 0.000
Er1 0.500 0.500 0.500
S1 0.000 0.000 0.500
S2 0.500 0.500 0.000
```


Record 3
First-principles (PBE) data for a relaxed structure of YEr4S7, as listed in the Open Quantum Materials Database.

Output
The total moment comes out at 0.00 μB per atom. For the calculated volume, the calculation gives 537 Å³ per cell. As for the crystal system: monoclinic. The total energy is -6.53 eV/atom.

Cell and atoms, written as CIF:
```
data_YEr4S7
_chemical_formula_sum 'Y2 Er8 S14'
_space_group_name_H-M_alt 'C 1 2/m 1'
_space_group_IT_number 12
_space_group_name_Hall '-C 2y'
_cell_length_a 12.764
_cell_length_b 3.774
_cell_length_c 11.528
_cell_angle_alpha 90.00
_cell_angle_beta 104.57
_cell_angle_gamma 90.00
loop_
_atom_site_label
_atom_site_fract_x
_atom_site_fract_y
_atom_site_fract_z
Y1 0.000 0.000 0.000
Er1 0.112 0.000 0.422
Er2 0.200 0.500 0.812
S1 0.000 0.500 0.500
S2 0.042 0.000 0.784
S3 0.161 0.500 0.052
S4 0.240 0.500 0.353
```


Record 4
First-principles (PBE) data for a relaxed structure of YEr2S3, as listed in the Open Quantum Materials Database.

Output
The total moment comes out at 0.00 μB per atom. For the calculated volume, the calculation gives 123 Å³ per cell. As for the crystal system: trigonal. The total energy is -6.63 eV/atom.

Cell and atoms, written as CIF:
```
data_YEr2S3
_chemical_formula_sum 'Y1 Er2 S3'
_space_group_name_H-M_alt 'P -3 m 1'
_space_group_IT_number 164
_space_group_name_Hall '-P 3 2"'
_cell_length_a 3.8728
_cell_length_b 3.8728
_cell_length_c 9.5025
_cell_angle_alpha 90.00
_cell_angle_beta 90.00
_cell_angle_gamma 120.00
loop_
_atom_site_label
_atom_site_fract_x
_atom_site_fract_y
_atom_site_fract_z
Y1 0.0000 0.0000 0.0000
Er1 0.3333 0.6667 0.6660
S1 0.0000 0.0000 0.5000
S2 0.3333 0.6667 0.1707
```


Record 5
First-principles (PBE) data for a relaxed structure of YEr3S6, as listed in the Open Quantum Materials Database.

Output
The total moment comes out at 0.00 μB per atom. For the calculated volume, the calculation gives 455 Å³ per cell. As for the crystal system: monoclinic. The total energy is -6.56 eV/atom.

Cell and atoms, written as CIF:
```
data_YEr3S6
_chemical_formula_sum 'Y2 Er6 S12'
_space_group_name_H-M_alt 'P 1 21/m 1'
_space_group_IT_number 11
_space_group_name_Hall '-P 2yb'
_cell_length_a 10.941
_cell_length_b 3.916
_cell_length_c 11.211
_cell_angle_alpha 90.00
_cell_angle_beta 108.85
_cell_angle_gamma 90.00
loop_
_atom_site_label
_atom_site_fract_x
_atom_site_fract_y
_atom_site_fract_z
Y1 0.045 0.250 0.192
Er1 0.161 0.250 0.584
Er2 0.318 0.750 0.998
Er3 0.435 0.250 0.332
S1 0.082 0.750 0.402
S2 0.112 0.250 0.963
S3 0.192 0.750 0.750
S4 0.257 0.750 0.224
S5 0.396 0.250 0.561
S6 0.478 0.250 0.113
```


Record 6
First-principles (PBE) data for a relaxed structure of YErS6, as listed in the Open Quantum Materials Database.

Output
The total moment comes out at 0.00 μB per atom. For the calculated volume, the calculation gives 450 Å³ per cell. As for the crystal system: trigonal. The total energy is -5.48 eV/atom.

Cell and atoms, written as CIF:
```
data_YErS6
_chemical_formula_sum 'Y3 Er3 S18'
_space_group_name_H-M_alt 'R -3'
_space_group_IT_number 148
_space_group_name_Hall '-R 3'
_cell_length_a 7.5168
_cell_length_b 7.5168
_cell_length_c 9.1960
_cell_angle_alpha 90.00
_cell_angle_beta 90.00
_cell_angle_gamma 120.00
loop_
_atom_site_label
_atom_site_fract_x
_atom_site_fract_y
_atom_site_fract_z
Y1 0.0000 0.0000 0.0000
Er1 0.0000 0.0000 0.5000
S1 0.0345 0.7668 0.2665
```


Record 7
First-principles (PBE) data for a relaxed structure of Er7Zn2S2, as listed in the Open Quantum Materials Database.

Output
The total moment comes out at 0.01 μB per atom. For the calculated volume, the calculation gives 524 Å³ per cell. As for the crystal system: orthorhombic. The total energy is -4.63 eV/atom.

Cell and atoms, written as CIF:
```
data_Er7Zn2S2
_chemical_formula_sum 'Er14 Zn4 S4'
_space_group_name_H-M_alt 'I m m 2'
_space_group_IT_number 44
_space_group_name_Hall 'I 2 -2'
_cell_length_a 3.871
_cell_length_b 14.679
_cell_length_c 9.221
_cell_angle_alpha 90.00
_cell_angle_beta 90.00
_cell_angle_gamma 90.00
loop_
_atom_site_label
_atom_site_fract_x
_atom_site_fract_y
_atom_site_fract_z
Er1 0.000 0.000 0.000
Er2 0.000 0.115 0.396
Er3 0.000 0.319 0.607
Er4 0.000 0.373 0.230
Zn1 0.000 0.237 0.899
S1 0.000 0.000 0.645
S2 0.000 0.500 0.746
```


Record 8
First-principles (PBE) data for a relaxed structure of SmErSc2Sb2, as listed in the Open Quantum Materials Database.

Output
The total moment comes out at 0.16 μB per atom. For the calculated volume, the calculation gives 311 Å³ per cell. As for the crystal system: tetragonal. The total energy is -5.86 eV/atom.

Cell and atoms, written as CIF:
```
data_SmErSc2Sb2
_chemical_formula_sum 'Sm2 Er2 Sc4 Sb4'
_space_group_name_H-M_alt 'I 4 m m'
_space_group_IT_number 107
_space_group_name_Hall 'I 4 -2'
_cell_length_a 4.367
_cell_length_b 4.367
_cell_length_c 16.327
_cell_angle_alpha 90.00
_cell_angle_beta 90.00
_cell_angle_gamma 90.00
loop_
_atom_site_label
_atom_site_fract_x
_atom_site_fract_y
_atom_site_fract_z
Sm1 0.000 0.000 0.000
Er1 0.000 0.000 0.352
Sc1 0.000 0.500 0.177
Sb1 0.000 0.000 0.547
Sb2 0.000 0.000 0.807
```


Record 9
First-principles (PBE) data for a relaxed structure of ErZrSc2Sb2, as listed in the Open Quantum Materials Database.

Output
The total moment comes out at 0.10 μB per atom. For the calculated volume, the calculation gives 286 Å³ per cell. As for the crystal system: tetragonal. The total energy is -6.38 eV/atom.

Cell and atoms, written as CIF:
```
data_ErZrSc2Sb2
_chemical_formula_sum 'Er2 Zr2 Sc4 Sb4'
_space_group_name_H-M_alt 'I 4 m m'
_space_group_IT_number 107
_space_group_name_Hall 'I 4 -2'
_cell_length_a 4.207
_cell_length_b 4.207
_cell_length_c 16.152
_cell_angle_alpha 90.00
_cell_angle_beta 90.00
_cell_angle_gamma 90.00
loop_
_atom_site_label
_atom_site_fract_x
_atom_site_fract_y
_atom_site_fract_z
Er1 0.000 0.000 0.000
Zr1 0.000 0.000 0.355
Sc1 0.000 0.500 0.182
Sb1 0.000 0.000 0.546
Sb2 0.000 0.000 0.814
```


Record 10
First-principles (PBE) data for a relaxed structure of ErSiSb, as listed in the Open Quantum Materials Database.

Output
The total moment comes out at 0.00 μB per atom. For the calculated volume, the calculation gives 314 Å³ per cell. As for the crystal system: cubic. The total energy is -4.80 eV/atom. As for the energy above the most stable polymorph in this dataset: 0 meV per atom.

Cell and atoms, written as CIF:
```
data_ErSiSb
_chemical_formula_sum 'Er4 Si4 Sb4'
_space_group_name_H-M_alt 'F -4 3 m'
_space_group_IT_number 216
_space_group_name_Hall 'F -4 2 3'
_cell_length_a 6.796
_cell_length_b 6.796
_cell_length_c 6.796
_cell_angle_alpha 90.00
_cell_angle_beta 90.00
_cell_angle_gamma 90.00
loop_
_atom_site_label
_atom_site_fract_x
_atom_site_fract_y
_atom_site_fract_z
Er1 0.000 0.000 0.000
Si1 0.250 0.250 0.250
Sb1 0.000 0.000 0.500
```


Question: Among the records above, which one has the highest total moment?
Answer: SmErSc2Sb2


Question: Which value of calculated volume does entry 8 give?
Answer: 311 Å³ per cell


Question: Number 5 is which compound?
Answer: YEr3S6


Question: Look up the total moment of the sixth one.
Answer: 0.00 μB per atom